A plane-wave DFT calculation with PBE was carried out for a relaxed TiHIr2Pd crystal.

Results
VASP energy (eV per atom): -7.23
Magnetic moment (μB per atom): 0.0000
Symmetry: P4/mmm

Cell lengths 3.932, 3.932, 3.968 Å; angles 90.00, 90.00, 90.00 degrees
Fractional positions:
1 Ti 0.000 0.000 0.000
2 H 0.000 0.000 0.500
3 Ir 0.000 0.500 0.500
4 Ir 0.500 0.000 0.500
5 Pd 0.500 0.500 0.000


A plane-wave DFT calculation with PBE was carried out for a relaxed YHo5 crystal.

Results
Energy relative to the elements (meV/atom): 119
Magnetic moment (μB per atom): 0.0000
Symmetry: Cmmm

Cell lengths 9.356, 9.356, 3.698 Å; angles 90.00, 90.00, 144.15 degrees
Fractional positions:
1 Y 0.000 0.000 0.000
2 Ho 0.181 0.819 0.500
3 Ho 0.347 0.653 0.000
4 Ho 0.500 0.500 0.500
5 Ho 0.653 0.347 0.000
6 Ho 0.819 0.181 0.500


A plane-wave DFT calculation with PBE was carried out for a relaxed Mg2TiMn crystal.

Results
Energy relative to the elements (meV/atom): 281
Magnetic moment (μB per atom): 0.6587
Symmetry: Fm-3m

Cell lengths 4.659, 4.659, 4.659 Å; angles 60.00, 60.00, 60.00 degrees
Fractional positions:
1 Mg 0.250 0.250 0.250
2 Mg 0.750 0.750 0.750
3 Ti 0.000 0.000 0.000
4 Mn 0.500 0.500 0.500


A plane-wave DFT calculation with PBE was carried out for a relaxed BaSc2Hg crystal.

Results
Energy relative to the elements (meV/atom): -4
Magnetic moment (μB per atom): 0.0187
Symmetry: Immm

Cell lengths 6.735, 6.735, 6.735 Å; angles 149.00, 129.24, 60.67 degrees
Fractional positions:
1 Ba 0.000 0.000 0.000
2 Sc 0.290 0.790 0.500
3 Sc 0.710 0.210 0.500
4 Hg 0.500 0.500 0.000


A plane-wave DFT calculation with PBE was carried out for a relaxed TbDyTlZn crystal.

Results
Energy relative to the elements (meV/atom): -353
Magnetic moment (μB per atom): 0.0000
Symmetry: P4mm

Cell lengths 3.673, 3.673, 7.437 Å; angles 90.00, 90.00, 90.00 degrees
Fractional positions:
1 Tb 0.000 0.000 0.000
2 Dy 0.000 0.000 0.543
3 Tl 0.500 0.500 0.273
4 Zn 0.500 0.500 0.769


A plane-wave DFT calculation with PBE was carried out for a relaxed KY2InSb crystal.

Results
Magnetic moment (μB per atom): 0.0000
ΔE_f (raw) (eV/atom): 0.058
Symmetry: P4/mmm

Cell lengths 5.768, 5.768, 6.163 Å; angles 90.00, 90.00, 90.00 degrees
Fractional positions:
1 K 0.000 0.000 0.000
2 Y 0.000 0.500 0.500
3 Y 0.500 0.000 0.500
4 In 0.500 0.500 0.000
5 Sb 0.000 0.000 0.500


A plane-wave DFT calculation with PBE was carried out for a relaxed LiRe2P crystal.

Results
Energy relative to the elements (meV/atom): -3
Magnetic moment (μB per atom): 0.0002
Symmetry: Immm

Cell lengths 5.474, 5.474, 5.474 Å; angles 150.30, 134.20, 55.55 degrees
Fractional positions:
1 Li 0.000 0.000 0.000
2 Re 0.299 0.799 0.500
3 Re 0.701 0.201 0.500
4 P 0.500 0.500 0.000


A plane-wave DFT calculation with PBE was carried out for a relaxed LiCrHg2 crystal.

Results
Energy relative to the elements (meV/atom): 116
Magnetic moment (μB per atom): 1.1033
Symmetry: I-4m2

Cell lengths 5.378, 5.378, 5.378 Å; angles 135.21, 135.21, 65.20 degrees
Fractional positions:
1 Li 0.000 0.000 0.000
2 Cr 0.250 0.750 0.500
3 Hg 0.500 0.500 0.000
4 Hg 0.750 0.250 0.500